First-principles (PBE) data for a relaxed LaPr4Tm7 crystal, as listed in Alexandria via LeMat-Bulk. Values from VASP.

The structure in Quantum ESPRESSO input format:
```
&SYSTEM
  ibrav = 0, nat = 12, ntyp = 3
/
ATOMIC_SPECIES
La 138.91 La.upf
Pr 140.91 Pr.upf
Tm 168.93 Tm.upf
CELL_PARAMETERS angstrom
6.0977 -2.9549 0.0000
6.0977 2.9549 0.0000
-5.9729 0.0000 11.3109
ATOMIC_POSITIONS crystal
La 0.0000 0.0000 0.0000
Pr 0.2268 0.2268 0.6680
Pr 0.3666 0.3666 0.2229
Pr 0.6334 0.6334 0.7771
Pr 0.7732 0.7732 0.3320
Tm 0.0676 0.0676 0.3191
Tm 0.2108 0.2108 0.9234
Tm 0.3669 0.3669 0.5032
Tm 0.5000 0.5000 0.0000
Tm 0.6331 0.6331 0.4968
Tm 0.7892 0.7892 0.0766
Tm 0.9324 0.9324 0.6809
```

Output
* energy of formation from the pure elements: 251 meV/atom
* theoretical density: 7.68 g/cm³


First-principles (PBE) data for a relaxed LaPr3Tm5 crystal, as listed in Alexandria via LeMat-Bulk. Values from VASP.

The structure in Quantum ESPRESSO input format:
```
&SYSTEM
  ibrav = 0, nat = 18, ntyp = 3
/
ATOMIC_SPECIES
La 138.91 La.upf
Pr 140.91 Pr.upf
Tm 168.93 Tm.upf
CELL_PARAMETERS angstrom
7.7364 -5.5949 0.0000
7.7364 5.5949 0.0000
-6.5288 0.0000 7.6856
ATOMIC_POSITIONS crystal
La 0.2457 0.2457 0.0830
La 0.7543 0.7543 0.9170
Pr 0.0000 0.0000 0.0000
Pr 0.0271 0.0271 0.6877
Pr 0.4898 0.4898 0.7869
Pr 0.5000 0.5000 0.5000
Pr 0.5102 0.5102 0.2131
Pr 0.9729 0.9729 0.3123
Tm 0.0900 0.5965 0.4449
Tm 0.2227 0.2227 0.4091
Tm 0.2606 0.7394 0.0000
Tm 0.2862 0.2862 0.7924
Tm 0.4035 0.9100 0.5551
Tm 0.5965 0.0900 0.4449
Tm 0.7138 0.7138 0.2076
Tm 0.7394 0.2606 0.0000
Tm 0.7773 0.7773 0.5909
Tm 0.9100 0.4035 0.5551
```

Output
* energy of formation from the pure elements: 502 meV/atom
* theoretical density: 7.02 g/cm³


First-principles (PBE) data for a relaxed LaPr9Tm2 crystal, as listed in Alexandria via LeMat-Bulk. Values from VASP.

The structure in Quantum ESPRESSO input format:
```
&SYSTEM
  ibrav = 0, nat = 12, ntyp = 3
/
ATOMIC_SPECIES
La 138.91 La.upf
Pr 140.91 Pr.upf
Tm 168.93 Tm.upf
CELL_PARAMETERS angstrom
5.1981 0.0000 0.0000
0.0000 5.1981 0.0000
0.0000 0.0000 15.6510
ATOMIC_POSITIONS crystal
La 0.0000 0.0000 0.0000
Pr 0.0000 0.5000 0.1709
Pr 0.0000 0.5000 0.5000
Pr 0.0000 0.5000 0.8291
Pr 0.5000 0.0000 0.1709
Pr 0.5000 0.0000 0.5000
Pr 0.5000 0.0000 0.8291
Pr 0.5000 0.5000 0.0000
Pr 0.5000 0.5000 0.3367
Pr 0.5000 0.5000 0.6633
Tm 0.0000 0.0000 0.3353
Tm 0.0000 0.0000 0.6647
```

Output
* energy of formation from the pure elements: 17 meV/atom
* theoretical density: 6.85 g/cm³


Number 1: N(E_F) 18.75 states/eV/f.u., VASP energy -4.361 eV/atom, M_tot 0.00 μB per formula unit. Number 2: N(E_F) 12.40 states/eV/f.u., VASP energy -4.122 eV/atom, M_tot 0.00 μB per formula unit. Number 3: N(E_F) 21.66 states/eV/f.u., VASP energy -4.724 eV/atom, M_tot 0.00 μB per formula unit.